1.
A crystal of Ba2BeReGe relaxed with PBEsol. Source: Alexandria via LeMat-Bulk, functional meta-GGA SCAN.

Results
The space group is P4/mmm, No. 123. As for the calculated formation energy: 850 meV per atom. The size of the total moment comes out at 0.967 Bohr magnetons per cell. The calculated volume is 28.8 A^3/atom.

abc: 5.749 5.749 4.357
angles: 90.00 90.00 90.00
Sites, in units of the cell vectors:
Ba 0.000 0.500 0.000
Ba 0.500 0.000 0.000
Be 0.000 0.000 0.500
Re 0.000 0.000 0.000
Ge 0.500 0.500 0.500



2.
A crystal of BaBeGe2Ru relaxed with PBEsol. Source: Alexandria via LeMat-Bulk, functional meta-GGA SCAN.

Results
The space group is P4/mmm, No. 123. As for the calculated formation energy: 335 meV per atom. The size of the total moment comes out at 0.000 Bohr magnetons per cell. The calculated volume is 19.1 A^3/atom.

abc: 4.595 4.595 4.531
angles: 90.00 90.00 90.00
Sites, in units of the cell vectors:
Ba 0.000 0.000 0.000
Be 0.500 0.500 0.500
Ge 0.000 0.500 0.500
Ge 0.500 0.000 0.500
Ru 0.500 0.500 0.000



3.
A crystal of BaBeH2 relaxed with PBEsol. Source: Alexandria via LeMat-Bulk, functional meta-GGA SCAN.

Results
The space group is Fm-3m, No. 225. The size of the total moment comes out at 0.002 Bohr magnetons per cell. The calculated volume is 15.4 A^3/atom. The calculation puts the total energy at -198.1 eV for the cell shown.

abc: 6.264 6.264 6.264
angles: 90.00 90.00 90.00
Sites, in units of the cell vectors:
Ba 0.000 0.000 0.000
Ba 0.000 0.500 0.500
Ba 0.500 0.000 0.500
Ba 0.500 0.500 0.000
Be 0.000 0.000 0.500
Be 0.000 0.500 0.000
Be 0.500 0.000 0.000
Be 0.500 0.500 0.500
H 0.250 0.250 0.250
H 0.250 0.250 0.750
H 0.250 0.750 0.250
H 0.250 0.750 0.750
H 0.750 0.250 0.250
H 0.750 0.250 0.750
H 0.750 0.750 0.250
H 0.750 0.750 0.750



4.
A crystal of BaZrBeH2 relaxed with PBEsol. Source: Alexandria via LeMat-Bulk, functional meta-GGA SCAN.

Results
The space group is P4/mmm, No. 123. The size of the total moment comes out at 0.000 Bohr magnetons per cell. The calculated volume is 17.1 A^3/atom. The calculation puts the total energy at -75.9 eV for the cell shown.

abc: 4.283 4.283 4.673
angles: 90.00 90.00 90.00
Sites, in units of the cell vectors:
Ba 0.000 0.000 0.000
Zr 0.500 0.500 0.000
Be 0.500 0.500 0.500
H 0.000 0.500 0.500
H 0.500 0.000 0.500



5.
A crystal of BaHfBe3 relaxed with PBEsol. Source: Alexandria via LeMat-Bulk, functional meta-GGA SCAN.

Results
The space group is Pm-3m, No. 221. As for the calculated formation energy: 2190 meV per atom. The size of the total moment comes out at 0.000 Bohr magnetons per cell. The calculated volume is 20.2 A^3/atom.

abc: 4.660 4.660 4.660
angles: 90.00 90.00 90.00
Sites, in units of the cell vectors:
Ba 0.000 0.000 0.000
Hf 0.500 0.500 0.500
Be 0.000 0.000 0.500
Be 0.000 0.500 0.000
Be 0.500 0.000 0.000



6.
A crystal of Ba2HfMgBe relaxed with PBEsol. Source: Alexandria via LeMat-Bulk, functional meta-GGA SCAN.

Results
The space group is P4/mmm, No. 123. As for the calculated formation energy: 742 meV per atom. The size of the total moment comes out at 0.358 Bohr magnetons per cell. The calculated volume is 36.0 A^3/atom.

abc: 6.131 6.131 4.784
angles: 90.00 90.00 90.00
Sites, in units of the cell vectors:
Ba 0.000 0.500 0.000
Ba 0.500 0.000 0.000
Hf 0.000 0.000 0.500
Mg 0.500 0.500 0.500
Be 0.000 0.000 0.000



7.
A crystal of BaHf2BeSb relaxed with PBEsol. Source: Alexandria via LeMat-Bulk, functional meta-GGA SCAN.

Results
The space group is P4/mmm, No. 123. The size of the total moment comes out at 0.000 Bohr magnetons per cell. The calculated volume is 32.7 A^3/atom. The calculation puts the total energy at -194.1 eV for the cell shown.

abc: 5.295 5.295 5.829
angles: 90.00 90.00 90.00
Sites, in units of the cell vectors:
Ba 0.000 0.000 0.000
Hf 0.000 0.500 0.000
Hf 0.500 0.000 0.000
Be 0.500 0.500 0.500
Sb 0.000 0.000 0.500



8.
A crystal of Ba2BeHg relaxed with PBEsol. Source: Alexandria via LeMat-Bulk, functional meta-GGA SCAN.

Results
The space group is Fm-3m, No. 225. The calculation puts the relative energy among the computed polymorphs at 0 meV/atom. As for the calculated formation energy: -32 meV per atom. The size of the total moment comes out at 0.000 Bohr magnetons per cell. The calculated volume is 32.4 A^3/atom.

abc: 8.031 8.031 8.031
angles: 90.00 90.00 90.00
Sites, in units of the cell vectors:
Ba 0.250 0.250 0.250
Ba 0.250 0.250 0.750
Ba 0.250 0.750 0.250
Ba 0.250 0.750 0.750
Ba 0.750 0.250 0.250
Ba 0.750 0.250 0.750
Ba 0.750 0.750 0.250
Ba 0.750 0.750 0.750
Be 0.000 0.000 0.000
Be 0.000 0.500 0.500
Be 0.500 0.000 0.500
Be 0.500 0.500 0.000
Hg 0.000 0.000 0.500
Hg 0.000 0.500 0.000
Hg 0.500 0.000 0.000
Hg 0.500 0.500 0.500